# 1
PuBeAl3: optimized geometry, PBE-GGA.

a = 6.0380 Å, b = 6.0380 Å, c = 6.0380 Å
α = 140.57°, β = 140.57°, γ = 56.99°
Closest atoms and distances in Å follow each position.
Element x y z (fractional)
Pu (0.0000, 0.0000, 0.0000)  8 Al 3.07-3.25, 4 Be 3.13
Be (0.6163, 0.6163, 0.0000)  5 Al 2.28-2.42
Al (0.2388, 0.7388, 0.5000)  2 Be 2.42, 2 Al 2.67
Al (0.4010, 0.4010, 0.0000)  1 Be 2.28
Al (0.7388, 0.2388, 0.5000)  2 Be 2.42, 2 Al 2.67

E_form, eV per atom: -0.206
ρ, kg/m3: 6297
Symmetry: I4mm, No. 107
DOS(E_F), states/eV/atom: 1.787

# 2
PuBe4Al: optimized geometry, PBE-GGA.

a = 4.7616 Å, b = 4.7616 Å, c = 4.7616 Å
α = 60.00°, β = 60.00°, γ = 60.00°
Closest atoms and distances in Å follow each position.
Element x y z (fractional)
Pu (0.0000, 0.0000, 0.0000)  12 Be 2.79, 4 Al 2.92
Be (0.3736, 0.3736, 0.3736)  6 Be 2.35-2.41
Be (0.3736, 0.3736, 0.8791)  6 Be 2.35-2.41
Be (0.3736, 0.8791, 0.3736)  6 Be 2.35-2.41
Be (0.8791, 0.3736, 0.3736)  6 Be 2.35-2.41
Al (0.7500, 0.7500, 0.7500)  12 Be 2.79, 4 Pu 2.92

E_form, eV per atom: 0.219
ρ, kg/m3: 6678
Symmetry: F-43m, No. 216
DOS(E_F), states/eV/atom: 1.228

# 3
Pu2BeAl: optimized geometry, PBE-GGA.

a = 2.9494 Å, b = 2.9494 Å, c = 8.7457 Å
α = 90.00°, β = 90.00°, γ = 90.00°
Closest atoms and distances in Å follow each position.
Element x y z (fractional)
Pu (0.0000, 0.0000, 0.2297)  4 Be 2.90, 4 Pu 2.95, 4 Al 3.15
Pu (0.0000, 0.0000, 0.7703)  4 Be 2.90, 4 Pu 2.95, 4 Al 3.15
Be (0.5000, 0.5000, 0.0000)  8 Pu 2.90, 4 Be 2.95
Al (0.5000, 0.5000, 0.5000)  4 Al 2.95, 8 Pu 3.15

E_form, eV per atom: 0.057
ρ, kg/m3: 11437
Symmetry: P4/mmm, No. 123
DOS(E_F), states/eV/atom: 2.195

# 4
PuBe2Al: optimized geometry, PBE-GGA.

a = 4.3744 Å, b = 4.3744 Å, c = 4.3744 Å
α = 60.00°, β = 60.00°, γ = 60.00°
Closest atoms and distances in Å follow each position.
Element x y z (fractional)
Pu (0.0000, 0.0000, 0.0000)  8 Be 2.68
Be (0.2500, 0.2500, 0.2500)  4 Al 2.68, 4 Pu 2.68
Be (0.7500, 0.7500, 0.7500)  4 Al 2.68, 4 Pu 2.68
Al (0.5000, 0.5000, 0.5000)  8 Be 2.68

E_form, eV per atom: 0.029
ρ, kg/m3: 8108
Symmetry: Fm-3m, No. 225
DOS(E_F), states/eV/atom: 0.984

# 5
PuBeAlZn: optimized geometry, PBE-GGA.

a = 4.5819 Å, b = 4.5819 Å, c = 4.5819 Å
α = 60.00°, β = 60.00°, γ = 60.00°
Closest atoms and distances in Å follow each position.
Element x y z (fractional)
Pu (0.0000, 0.0000, 0.0000)  4 Be 2.81, 4 Zn 2.81
Be (0.7500, 0.7500, 0.7500)  4 Al 2.81, 4 Pu 2.81
Al (0.5000, 0.5000, 0.5000)  4 Be 2.81, 4 Zn 2.81
Zn (0.2500, 0.2500, 0.2500)  4 Al 2.81, 4 Pu 2.81

E_form, eV per atom: -0.015
ρ, kg/m3: 8433
Symmetry: F-43m, No. 216
DOS(E_F), states/eV/atom: 1.419

# 6
Rb3BeAl: optimized geometry, PBE-GGA.

a = 6.5692 Å, b = 6.5692 Å, c = 6.5692 Å
α = 90.00°, β = 90.00°, γ = 90.00°
Closest atoms and distances in Å follow each position.
Element x y z (fractional)
Rb (0.0000, 0.0000, 0.5000)  2 Be 3.28
Rb (0.0000, 0.5000, 0.0000)  2 Be 3.28
Rb (0.5000, 0.0000, 0.0000)  2 Be 3.28
Be (0.0000, 0.0000, 0.0000)  6 Rb 3.28
Al (0.5000, 0.5000, 0.5000)  12 Rb 4.65

E_form, eV per atom: 0.892
Relative energy among the computed polymorphs, eV per atom: 0.0000
ρ, kg/m3: 1713
Symmetry: Pm-3m, No. 221
DOS(E_F), states/eV/atom: 0.592

# 7
Rb2BeAl: optimized geometry, PBE-GGA.

a = 9.7457 Å, b = 9.7457 Å, c = 9.7457 Å
α = 93.09°, β = 93.09°, γ = 153.15°
Closest atoms and distances in Å follow each position.
Element x y z (fractional)
Rb (0.3750, 0.1748, 0.2998)  2 Be 3.46, 2 Al 3.82
Rb (0.8252, 0.1250, 0.2002)  2 Be 3.46, 2 Al 3.82
Rb (0.8750, 0.0752, 0.7002)  2 Be 3.46, 2 Al 3.82
Rb (0.9248, 0.6250, 0.7998)  2 Be 3.46, 2 Al 3.82
Be (0.0000, 0.0000, 0.0000)  2 Al 2.26
Be (0.7500, 0.2500, 0.5000)  2 Al 2.26
Al (0.2500, 0.7500, 0.5000)  2 Be 2.26
Al (0.5000, 0.5000, 0.0000)  2 Be 2.26

E_form, eV per atom: 0.469
Relative energy among the computed polymorphs, eV per atom: 0.0000
ρ, kg/m3: 1690
Symmetry: I-42d, No. 122
DOS(E_F), states/eV/atom: 0.613

# 8
Rb2BeAl: optimized geometry, PBE-GGA.

a = 6.0579 Å, b = 6.0579 Å, c = 6.0579 Å
α = 60.00°, β = 60.00°, γ = 60.00°
Closest atoms and distances in Å follow each position.
Element x y z (fractional)
Rb (0.2500, 0.2500, 0.2500)  4 Be 3.71, 4 Al 3.71
Rb (0.7500, 0.7500, 0.7500)  4 Be 3.71, 4 Al 3.71
Be (0.0000, 0.0000, 0.0000)  8 Rb 3.71
Al (0.5000, 0.5000, 0.5000)  8 Rb 3.71

E_form, eV per atom: 0.987
Relative energy among the computed polymorphs, eV per atom: 0.5186
ρ, kg/m3: 2186
Symmetry: Fm-3m, No. 225
DOS(E_F), states/eV/atom: 1.343